{"formula": "Rb2NaIrI6", "functional": "PBE", "state": "optimized geometry", "spacegroup": "No. 225", "total_energy_ev_per_cell": -29.5, "raw_formation_energy_ev_per_atom": -0.81, "m_tot_mub_per_cell": 0.000, "vol_a3_per_cell": 405, "lattice_angstrom": [[8.3046, 0.0000, 0.0000], [0.0000, 8.3046, 0.0000], [4.1523, 4.1523, 5.8699]], "species": ["I", "I", "I", "I", "I", "I", "Rb", "Rb", "Na", "Ir"], "frac_coords": [[0.2302, 0.7698, 0.0000], [0.2302, 0.2302, 0.0000], [0.7697, 0.7697, 0.4606], [0.2303, 0.2303, 0.5394], [0.7698, 0.2302, 0.0000], [0.7698, 0.7698, 0.0000], [0.2500, 0.7500, 0.5000], [0.7500, 0.2500, 0.5000], [0.5000, 0.5000, 0.0000], [0.0000, 0.0000, 0.0000]]}